[1]
# Li2ErCl5 PBE relaxed
# VASP energy: -33.4 eV for the cell shown
# Formation energy without anion corrections: -1.975 eV/atom
# Space-group type: Cm
data_Li2ErCl5
_cell_length_a 6.637
_cell_length_b 7.352
_cell_length_c 7.352
_cell_angle_alpha 66.10
_cell_angle_beta 59.35
_cell_angle_gamma 59.34
_space_group_name_H-M_alt 'P 1'
_space_group_IT_number 1
_space_group_name_Hall 'P 1'
loop_
_atom_site_label
_atom_site_type_symbol
_atom_site_fract_x
_atom_site_fract_y
_atom_site_fract_z
Er1 Er 0.958 0.022 0.022
Cl1 Cl 0.060 0.352 0.815
Cl2 Cl 0.547 0.277 0.277
Cl3 Cl 0.701 0.929 0.929
Li1 Li 0.637 0.590 0.012
Cl4 Cl 0.060 0.815 0.352
Cl5 Cl 0.399 0.779 0.779
Li2 Li 0.637 0.012 0.590

[2]
# LiErCl4 PBE relaxed
# VASP energy: -52.8 eV for the cell shown
# Formation energy without anion corrections: -2.088 eV/atom
# Space-group type: C2/c
data_LiErCl4
_cell_length_a 6.438
_cell_length_b 6.349
_cell_length_c 9.410
_cell_angle_alpha 105.85
_cell_angle_beta 106.18
_cell_angle_gamma 100.83
_space_group_name_H-M_alt 'P 1'
_space_group_IT_number 1
_space_group_name_Hall 'P 1'
loop_
_atom_site_label
_atom_site_type_symbol
_atom_site_fract_x
_atom_site_fract_y
_atom_site_fract_z
Li1 Li 0.635 0.385 0.771
Cl1 Cl 0.302 0.080 0.655
Cl2 Cl 0.147 0.424 0.345
Li2 Li 0.365 0.615 0.229
Cl3 Cl 0.506 0.280 0.092
Cl4 Cl 0.494 0.720 0.908
Cl5 Cl 0.853 0.576 0.655
Cl6 Cl 0.086 0.812 0.092
Cl7 Cl 0.698 0.920 0.345
Cl8 Cl 0.914 0.188 0.908
Er1 Er 0.172 0.922 0.844
Er2 Er 0.828 0.078 0.156